Model w:
## Ag6HgSb (PBE)

Data for crystalline Ag6HgSb at its relaxed geometry.

total magnetization: 0.0 Bohr magnetons per cell

Cell: 4.894 6.059 6.059 Å, 119.98 90.00 90.00°
Positions (direct):
1 Ag 0.000 0.080 0.415
2 Ag 0.000 0.585 0.920
3 Ag 0.000 0.585 0.415
4 Ag 0.500 0.425 0.088
5 Ag 0.500 0.912 0.575
6 Ag 0.500 0.912 0.088
7 Hg 0.500 0.417 0.583
8 Sb 0.000 0.083 0.917

=====

Model x:
## Ag6HgSb (PBE)

Data for crystalline Ag6HgSb at its relaxed geometry.

total magnetization: 0.0 Bohr magnetons per cell

Cell: 4.258 6.038 6.038 Å, 89.98 90.00 90.00°
Positions (direct):
1 Ag 0.000 0.747 0.253
2 Ag 0.000 0.253 0.747
3 Ag 0.000 0.747 0.747
4 Ag 0.000 0.253 0.253
5 Ag 0.500 0.500 0.000
6 Ag 0.500 0.000 0.500
7 Hg 0.500 0.500 0.500
8 Sb 0.500 0.000 0.000

=====

Which of them is most stable, and which least? Most stable: model w; least stable: model x.

=====

Model w:
## ScAg3Hg (PBE)

Data for crystalline ScAg3Hg at its relaxed geometry.

total magnetization: 0.0 Bohr magnetons per cell

Cell: 5.140 5.140 5.140 Å, 90.00 90.00 90.00°
Positions (direct):
1 Sc 0.500 0.500 0.500
2 Hg 0.000 0.000 0.000
3 Ag 0.000 0.500 0.000
4 Ag 0.000 0.000 0.500
5 Ag 0.500 0.000 0.000

=====

Model x:
## ScAg3Hg (PBE)

Data for crystalline ScAg3Hg at its relaxed geometry.

total magnetization: 0.0 Bohr magnetons per cell

Cell: 5.093 5.093 8.439 Å, 90.00 90.00 108.72°
Positions (direct):
1 Sc 0.942 0.942 0.500
2 Sc 0.942 0.942 0.000
3 Ag 0.257 0.559 0.567
4 Ag 0.257 0.559 0.933
5 Ag 0.045 0.359 0.250
6 Ag 0.559 0.257 0.067
7 Ag 0.559 0.257 0.433
8 Ag 0.359 0.045 0.750
9 Hg 0.547 0.771 0.250
10 Hg 0.771 0.547 0.750

=====

Model y:
## ScAg3Hg (PBE)

Data for crystalline ScAg3Hg at its relaxed geometry.

total magnetization: 0.0 Bohr magnetons per cell

Cell: 5.295 5.295 5.295 Å, 90.00 90.00 90.00°
Positions (direct):
1 Sc 0.000 0.000 0.000
2 Hg 0.500 0.500 0.500
3 Ag 0.000 0.500 0.000
4 Ag 0.000 0.000 0.500
5 Ag 0.500 0.000 0.000

=====

Which of them is most stable, and which least? Most stable: model x; least stable: model y.

=====

Model w:
## Sc3AgHg2 (PBE)

Data for crystalline Sc3AgHg2 at its relaxed geometry.

total magnetization: 0.0 Bohr magnetons per cell

Cell: 3.507 3.507 10.380 Å, 90.00 90.00 90.00°
Positions (direct):
1 Sc 0.000 0.000 0.000
2 Sc 0.000 0.000 0.661
3 Sc 0.000 0.000 0.339
4 Ag 0.500 0.500 0.500
5 Hg 0.500 0.500 0.831
6 Hg 0.500 0.500 0.169

=====

Model x:
## Sc3AgHg2 (PBE)

Data for crystalline Sc3AgHg2 at its relaxed geometry.

total magnetization: 0.0 Bohr magnetons per cell

Cell: 4.935 4.935 12.103 Å, 90.00 90.00 120.00°
Positions (direct):
1 Sc 0.333 0.667 0.419
2 Sc 0.667 0.333 0.085
3 Sc 0.000 0.000 0.747
4 Sc 0.000 0.000 0.253
5 Sc 0.333 0.667 0.915
6 Sc 0.667 0.333 0.581
7 Ag 0.333 0.667 0.668
8 Ag 0.667 0.333 0.332
9 Hg 0.000 0.000 0.500
10 Hg 0.333 0.667 0.172
11 Hg 0.667 0.333 0.828
12 Hg 0.000 0.000 0.000

=====

Which of them is most stable, and which least? Most stable: model x; least stable: model w.

=====

Model w:
## ScAg4Hg (PBE)

Data for crystalline ScAg4Hg at its relaxed geometry.

total magnetization: 0.0 Bohr magnetons per cell

Cell: 4.860 7.480 8.202 Å, 90.00 90.00 52.42°
Positions (direct):
1 Sc 0.500 0.250 0.250
2 Sc 0.500 0.750 0.750
3 Ag 0.244 0.506 0.917
4 Ag 0.244 0.506 0.583
5 Ag 0.756 0.994 0.917
6 Ag 0.756 0.494 0.417
7 Ag 0.756 0.994 0.583
8 Ag 0.244 0.006 0.083
9 Ag 0.244 0.006 0.417
10 Ag 0.756 0.494 0.083
11 Hg 0.000 0.250 0.750
12 Hg 0.000 0.750 0.250

=====

Model x:
## ScAg4Hg (PBE)

Data for crystalline ScAg4Hg at its relaxed geometry.

total magnetization: 0.0 Bohr magnetons per cell

Cell: 5.507 5.507 5.507 Å, 60.00 60.00 60.00°
Positions (direct):
1 Sc 0.000 0.000 0.000
2 Ag 0.125 0.625 0.625
3 Ag 0.625 0.625 0.625
4 Ag 0.625 0.125 0.625
5 Ag 0.625 0.625 0.125
6 Hg 0.250 0.250 0.250

=====

Which of them is most stable, and which least? Most stable: model x; least stable: model w.

=====

Model w:
## SmScAgHg (PBE)

Data for crystalline SmScAgHg at its relaxed geometry.

total magnetization: 0.0 Bohr magnetons per cell

Cell: 5.129 5.129 5.129 Å, 60.00 60.00 60.00°
Positions (direct):
1 Sc 0.500 0.500 0.500
2 Ag 0.750 0.750 0.750
3 Hg 0.250 0.250 0.250
4 Sm 0.000 0.000 0.000

=====

Model x:
## SmScAgHg (PBE)

Data for crystalline SmScAgHg at its relaxed geometry.

total magnetization: 0.2 Bohr magnetons per cell

Cell: 3.538 3.538 7.520 Å, 90.00 90.00 90.00°
Positions (direct):
1 Sm 0.500 0.500 0.113
2 Sc 0.500 0.500 0.597
3 Ag 0.000 0.000 0.390
4 Hg 0.000 0.000 0.828

=====

Which of them is most stable, and which least? Most stable: model x; least stable: model w.

=====

Model w:
## ScAgSnHg (PBE)

Data for crystalline ScAgSnHg at its relaxed geometry.

total magnetization: 0.0 Bohr magnetons per cell

Cell: 4.963 4.963 4.963 Å, 60.00 60.00 60.00°
Positions (direct):
1 Sc 0.250 0.250 0.250
2 Hg 0.000 0.000 0.000
3 Ag 0.750 0.750 0.750
4 Sn 0.500 0.500 0.500

=====

Model x:
## ScAgSnHg (PBE)

Data for crystalline ScAgSnHg at its relaxed geometry.

total magnetization: 0.0 Bohr magnetons per cell

Cell: 4.189 4.642 4.395 Å, 90.00 90.00 90.00°
Positions (direct):
1 Sc 0.500 0.500 0.000
2 Ag 0.500 0.000 0.500
3 Sn 0.000 0.500 0.500
4 Hg 0.000 0.000 0.000

=====

Which of them is most stable, and which least? Most stable: model x; least stable: model w.

=====

Model w:
## AgHgSe (PBE)

Data for crystalline AgHgSe at its relaxed geometry.

total magnetization: 0.0 Bohr magnetons per cell

Cell: 7.157 7.018 3.167 Å, 79.54 74.66 25.80°
Positions (direct):
1 Ag 0.007 0.007 0.993
2 Hg 0.342 0.342 0.658
3 Se 0.651 0.651 0.349

=====

Model x:
## AgHgSe (PBE)

Data for crystalline AgHgSe at its relaxed geometry.

total magnetization: 0.0 Bohr magnetons per cell

Cell: 7.187 7.187 7.187 Å, 154.99 154.99 35.66°
Positions (direct):
1 Ag 0.007 0.007 0.000
2 Hg 0.346 0.346 0.000
3 Se 0.647 0.647 0.000

=====

Model y:
## AgHgSe (PBE)

Data for crystalline AgHgSe at its relaxed geometry.

total magnetization: 0.0 Bohr magnetons per cell

Cell: 7.582 7.583 7.399 Å, 112.79 112.79 103.40°
Positions (direct):
1 Ag 0.000 0.500 0.000
2 Ag 0.500 0.500 0.500
3 Ag 0.000 0.000 0.000
4 Ag 0.000 0.500 0.500
5 Hg 0.562 0.312 0.124
6 Hg 0.188 0.938 0.376
7 Hg 0.438 0.688 0.876
8 Hg 0.812 0.062 0.624
9 Se 0.405 0.658 0.249
10 Se 0.158 0.905 0.749
11 Se 0.842 0.095 0.251
12 Se 0.595 0.342 0.751

=====

Which of them is most stable, and which least? Most stable: model y; least stable: model w.

=====

Model w:
## AgHgSe (PBE)

Data for crystalline AgHgSe at its relaxed geometry.

total magnetization: 0.0 Bohr magnetons per cell

Cell: 4.682 4.682 4.682 Å, 60.00 60.00 60.00°
Positions (direct):
1 Ag 0.750 0.750 0.750
2 Hg 0.000 0.000 0.000
3 Se 0.500 0.500 0.500

=====

Model x:
## AgHgSe (PBE)

Data for crystalline AgHgSe at its relaxed geometry.

total magnetization: 0.0 Bohr magnetons per cell

Cell: 6.286 8.241 6.455 Å, 76.47 90.00 90.00°
Positions (direct):
1 Ag 0.750 0.000 0.750
2 Ag 0.750 0.000 0.250
3 Ag 0.250 0.000 0.250
4 Ag 0.250 0.000 0.750
5 Hg 0.500 0.599 0.136
6 Hg 0.000 0.599 0.636
7 Hg 0.500 0.401 0.864
8 Hg 0.000 0.401 0.364
9 Se 0.500 0.233 0.572
10 Se 0.000 0.767 0.928
11 Se 0.500 0.767 0.428
12 Se 0.000 0.233 0.072

=====

Which of them is most stable, and which least? Most stable: model x; least stable: model w.